[1]
Density functional theory data (PBE) for an optimized crystal structure of ZrScZn.

Lattice parameters (Å, degrees): 3.208 3.208 11.918 90.00 90.00 90.00
Space group I4mm (No. 107)
Inequivalent atoms, fractional coordinates:
Zr 0.000 0.000 0.000 (multiplicity 2)
Sc 0.000 0.000 0.685 (multiplicity 2)
Zn 0.000 0.000 0.342 (multiplicity 2)

Values from the calculation:
ρ = 5.46 g/cm3
ΔE_f = -0.22 eV per atom
Density of states at the Fermi level = 0.90 states/eV/atom
E above lowest polymorph = 0.000 eV/atom
Uncorrected energy = -5.60 eV/atom



[2]
Density functional theory data (PBE) for an optimized crystal structure of ZrSc2Zn.

Lattice parameters (Å, degrees): 3.2427 3.2427 28.8674 90.00 90.00 120.00
Space group R-3m (No. 166, hexagonal axes)
Inequivalent atoms, fractional coordinates:
Zr 0.0000 0.0000 0.0000 (multiplicity 3)
Sc 0.0000 0.0000 0.2435 (multiplicity 6)
Zn 0.0000 0.0000 0.5000 (multiplicity 3)

Values from the calculation:
ρ = 4.67 g/cm3
ΔE_f = -0.07 eV per atom
Density of states at the Fermi level = 1.32 states/eV/atom
Uncorrected energy = -5.69 eV/atom



[3]
Density functional theory data (PBE) for an optimized crystal structure of ZrSc2Zn2.

Lattice parameters (Å, degrees): 4.157 4.157 11.915 90.00 90.00 90.00
Space group I4/mmm (No. 139)
Inequivalent atoms, fractional coordinates:
Zr 0.000 0.000 0.000 (multiplicity 2)
Sc 0.000 0.500 0.250 (multiplicity 4)
Zn 0.000 0.000 0.403 (multiplicity 4)

Values from the calculation:
ρ = 5.03 g/cm3
ΔE_f = -0.01 eV per atom
Density of states at the Fermi level = 1.19 states/eV/atom
E above lowest polymorph = 0.244 eV/atom
Uncorrected energy = -4.76 eV/atom



[4]
Density functional theory data (PBE) for an optimized crystal structure of ZrScZn2.

Lattice parameters (Å, degrees): 3.2581 3.2581 26.4801 90.00 90.00 120.00
Space group R3m (No. 160, hexagonal axes)
Inequivalent atoms, fractional coordinates:
Zr 0.0000 0.0000 0.0000 (multiplicity 3)
Sc 0.0000 0.0000 0.7616 (multiplicity 3)
Zn 0.0000 0.0000 0.2485 (multiplicity 3)
Zn 0.0000 0.0000 0.5122 (multiplicity 3)

Values from the calculation:
ρ = 5.46 g/cm3
ΔE_f = -0.03 eV per atom
Density of states at the Fermi level = 0.82 states/eV/atom
Uncorrected energy = -4.39 eV/atom



[5]
Density functional theory data (PBE) for an optimized crystal structure of Zr2Sc3Zn2.

Lattice parameters (Å, degrees): 4.702 20.649 3.065 90.00 90.00 90.00
Space group Cmmm (No. 65)
Inequivalent atoms, fractional coordinates:
Zr 0.000 0.219 0.000 (multiplicity 4)
Sc 0.000 0.357 0.500 (multiplicity 4)
Sc 0.000 0.500 0.500 (multiplicity 2)
Zn 0.000 0.070 0.000 (multiplicity 4)

Values from the calculation:
ρ = 5.00 g/cm3
ΔE_f = -0.03 eV per atom
Density of states at the Fermi level = 1.07 states/eV/atom
Uncorrected energy = -5.55 eV/atom



[6]
Density functional theory data (PBE) for an optimized crystal structure of ZrSc2Zn2.

Lattice parameters (Å, degrees): 8.024 8.024 3.077 90.00 90.00 90.00
Space group P4/mbm (No. 127)
Inequivalent atoms, fractional coordinates:
Zr 0.000 0.000 0.000 (multiplicity 2)
Sc 0.133 0.367 0.000 (multiplicity 4)
Zn 0.167 0.667 0.500 (multiplicity 4)

Values from the calculation:
ρ = 5.23 g/cm3
ΔE_f = -0.09 eV per atom
Density of states at the Fermi level = 1.00 states/eV/atom
E above lowest polymorph = 0.161 eV/atom
Uncorrected energy = -4.85 eV/atom



[7]
Density functional theory data (PBE) for an optimized crystal structure of ZrSc2Zn.

Lattice parameters (Å, degrees): 3.2342 3.2342 29.4908 90.00 90.00 120.00
Space group R3m (No. 160, hexagonal axes)
Inequivalent atoms, fractional coordinates:
Zr 0.0000 0.0000 0.0000 (multiplicity 3)
Sc 0.0000 0.0000 0.5153 (multiplicity 3)
Sc 0.0000 0.0000 0.7531 (multiplicity 3)
Zn 0.0000 0.0000 0.2560 (multiplicity 3)

Values from the calculation:
ρ = 4.60 g/cm3
ΔE_f = -0.03 eV per atom
Density of states at the Fermi level = 1.63 states/eV/atom
Uncorrected energy = -5.65 eV/atom



[8]
Density functional theory data (PBE) for an optimized crystal structure of ZrScZn2.

Lattice parameters (Å, degrees): 3.2834 3.2834 26.0035 90.00 90.00 120.00
Space group R-3m (No. 166, hexagonal axes)
Inequivalent atoms, fractional coordinates:
Zr 0.0000 0.0000 0.0000 (multiplicity 3)
Sc 0.0000 0.0000 0.5000 (multiplicity 3)
Zn 0.0000 0.0000 0.2490 (multiplicity 6)

Values from the calculation:
ρ = 5.48 g/cm3
ΔE_f = -0.11 eV per atom
Density of states at the Fermi level = 0.58 states/eV/atom
Uncorrected energy = -4.46 eV/atom



[9]
Density functional theory data (PBE) for an optimized crystal structure of ZrSc3Zn2.

Lattice parameters (Å, degrees): 3.287 3.287 11.345 90.00 90.00 90.00
Space group P4/mmm (No. 123)
Inequivalent atoms, fractional coordinates:
Zr 0.000 0.000 0.000 (multiplicity 1)
Sc 0.500 0.500 0.194 (multiplicity 2)
Sc 0.500 0.500 0.500 (multiplicity 1)
Zn 0.000 0.000 0.350 (multiplicity 2)

Values from the calculation:
ρ = 4.84 g/cm3
ΔE_f = -0.25 eV per atom
Density of states at the Fermi level = 1.17 states/eV/atom
Uncorrected energy = -5.26 eV/atom



[10]
Density functional theory data (PBE) for an optimized crystal structure of ZrSc2Zn2.

Lattice parameters (Å, degrees): 4.129 4.129 12.452 90.00 90.00 90.00
Space group I4/mmm (No. 139)
Inequivalent atoms, fractional coordinates:
Zr 0.000 0.000 0.000 (multiplicity 2)
Sc 0.000 0.000 0.390 (multiplicity 4)
Zn 0.000 0.500 0.250 (multiplicity 4)

Values from the calculation:
ρ = 4.88 g/cm3
ΔE_f = 0.15 eV per atom
Density of states at the Fermi level = 0.67 states/eV/atom
E above lowest polymorph = 0.405 eV/atom
Uncorrected energy = -4.60 eV/atom



[11]
Density functional theory data (PBE) for an optimized crystal structure of ZrScZn3.

Lattice parameters (Å, degrees): 5.032 5.032 5.032 90.00 90.00 90.00
Space group Pm-3m (No. 221)
Inequivalent atoms, fractional coordinates:
Zr 0.000 0.000 0.000 (multiplicity 1)
Sc 0.500 0.500 0.500 (multiplicity 1)
Zn 0.000 0.000 0.500 (multiplicity 3)

Values from the calculation:
ρ = 4.33 g/cm3
ΔE_f = 0.77 eV per atom
Density of states at the Fermi level = 1.42 states/eV/atom
E above lowest polymorph = 1.060 eV/atom
Uncorrected energy = -2.97 eV/atom



[12]
Density functional theory data (PBE) for an optimized crystal structure of Zr5ScZn4.

Lattice parameters (Å, degrees): 3.311 3.311 17.987 90.00 90.00 90.00
Space group P4/mmm (No. 123)
Inequivalent atoms, fractional coordinates:
Zr 0.000 0.000 0.000 (multiplicity 1)
Zr 0.000 0.000 0.188 (multiplicity 2)
Zr 0.000 0.000 0.379 (multiplicity 2)
Sc 0.500 0.500 0.500 (multiplicity 1)
Zn 0.500 0.500 0.094 (multiplicity 2)
Zn 0.500 0.500 0.284 (multiplicity 2)

Values from the calculation:
ρ = 6.42 g/cm3
ΔE_f = -0.20 eV per atom
Density of states at the Fermi level = 0.77 states/eV/atom
Uncorrected energy = -5.62 eV/atom



[13]
Density functional theory data (PBE) for an optimized crystal structure of ZrSc5Zn6.

Lattice parameters (Å, degrees): 4.717 6.718 7.485 90.00 108.31 90.00
Space group P2/m (No. 10)
Inequivalent atoms, fractional coordinates:
Zr 0.000 0.000 0.000 (multiplicity 1)
Sc 0.000 0.500 0.000 (multiplicity 1)
Sc 0.333 0.000 0.666 (multiplicity 2)
Sc 0.333 0.500 0.667 (multiplicity 2)
Zn 0.167 0.251 0.333 (multiplicity 4)
Zn 0.500 0.252 0.000 (multiplicity 2)

Values from the calculation:
ρ = 5.22 g/cm3
ΔE_f = -0.35 eV per atom
Density of states at the Fermi level = 0.96 states/eV/atom
Uncorrected energy = -4.34 eV/atom



[14]
Density functional theory data (PBE) for an optimized crystal structure of ZrSc2Zn4.

Lattice parameters (Å, degrees): 6.104 8.628 10.231 90.00 90.00 90.00
Space group Fmmm (No. 69)
Inequivalent atoms, fractional coordinates:
Zr 0.000 0.000 0.000 (multiplicity 4)
Sc 0.000 0.000 0.301 (multiplicity 8)
Zn 0.250 0.250 0.122 (multiplicity 16)

Values from the calculation:
ρ = 5.46 g/cm3
ΔE_f = -0.14 eV per atom
Density of states at the Fermi level = 0.66 states/eV/atom
Uncorrected energy = -3.90 eV/atom



[15]
Density functional theory data (PBE) for an optimized crystal structure of ZrSc4Zn5.

Lattice parameters (Å, degrees): 3.341 3.341 16.802 90.00 90.00 90.00
Space group P4/mmm (No. 123)
Inequivalent atoms, fractional coordinates:
Zr 0.000 0.000 0.000 (multiplicity 1)
Sc 0.000 0.000 0.200 (multiplicity 2)
Sc 0.000 0.000 0.400 (multiplicity 2)
Zn 0.500 0.500 0.102 (multiplicity 2)
Zn 0.500 0.500 0.299 (multiplicity 2)
Zn 0.500 0.500 0.500 (multiplicity 1)

Values from the calculation:
ρ = 5.30 g/cm3
ΔE_f = -0.35 eV per atom
Density of states at the Fermi level = 0.92 states/eV/atom
Uncorrected energy = -4.38 eV/atom



[16]
Density functional theory data (PBE) for an optimized crystal structure of ZrSc2Zn.

Lattice parameters (Å, degrees): 4.996 4.996 3.402 90.00 90.00 90.00
Space group P4/mmm (No. 123)
Inequivalent atoms, fractional coordinates:
Zr 0.000 0.000 0.000 (multiplicity 1)
Sc 0.000 0.500 0.500 (multiplicity 2)
Zn 0.500 0.500 0.000 (multiplicity 1)

Values from the calculation:
ρ = 4.82 g/cm3
ΔE_f = 0.00 eV per atom
Density of states at the Fermi level = 1.70 states/eV/atom
Uncorrected energy = -5.62 eV/atom



[17]
Density functional theory data (PBE) for an optimized crystal structure of ZrScZn2.

Lattice parameters (Å, degrees): 2.886 5.123 11.497 90.00 90.00 90.00
Space group Immm (No. 71)
Inequivalent atoms, fractional coordinates:
Zr 0.000 0.000 0.000 (multiplicity 2)
Sc 0.000 0.000 0.500 (multiplicity 2)
Zn 0.000 0.000 0.250 (multiplicity 4)

Values from the calculation:
ρ = 5.22 g/cm3
ΔE_f = 0.45 eV per atom
Density of states at the Fermi level = 1.18 states/eV/atom
Uncorrected energy = -3.91 eV/atom



[18]
Density functional theory data (PBE) for an optimized crystal structure of Zr4ScZn.

Lattice parameters (Å, degrees): 8.218 8.218 8.218 90.00 90.00 90.00
Space group F-43m (No. 216)
Inequivalent atoms, fractional coordinates:
Zr 0.123 0.123 0.123 (multiplicity 16)
Sc 0.250 0.250 0.750 (multiplicity 4)
Zn 0.000 0.000 0.500 (multiplicity 4)

Values from the calculation:
ρ = 5.69 g/cm3
ΔE_f = 0.30 eV per atom
Density of states at the Fermi level = 1.37 states/eV/atom
E above lowest polymorph = 0.365 eV/atom
Uncorrected energy = -6.67 eV/atom



[19]
Density functional theory data (PBE) for an optimized crystal structure of ZrScZn3.

Lattice parameters (Å, degrees): 3.245 25.840 4.331 90.00 90.00 90.00
Space group Cmcm (No. 63)
Inequivalent atoms, fractional coordinates:
Zr 0.000 0.073 0.250 (multiplicity 4)
Sc 0.000 0.212 0.750 (multiplicity 4)
Zn 0.000 0.326 0.750 (multiplicity 4)
Zn 0.000 0.380 0.250 (multiplicity 4)
Zn 0.000 0.476 0.250 (multiplicity 4)

Values from the calculation:
ρ = 6.08 g/cm3
ΔE_f = -0.29 eV per atom
Density of states at the Fermi level = 0.83 states/eV/atom
E above lowest polymorph = 0.000 eV/atom
Uncorrected energy = -4.03 eV/atom



[20]
Density functional theory data (PBE) for an optimized crystal structure of ZrSc2Zn.

Lattice parameters (Å, degrees): 3.252 3.252 8.169 90.00 90.00 90.00
Space group P4mm (No. 99)
Inequivalent atoms, fractional coordinates:
Zr 0.000 0.000 0.000 (multiplicity 1)
Sc 0.000 0.000 0.560 (multiplicity 1)
Sc 0.500 0.500 0.264 (multiplicity 1)
Zn 0.500 0.500 0.773 (multiplicity 1)

Values from the calculation:
ρ = 4.74 g/cm3
ΔE_f = -0.14 eV per atom
Density of states at the Fermi level = 1.47 states/eV/atom
Uncorrected energy = -5.76 eV/atom